Cs2Ge2Se: optimized geometry, PBE-GGA.

abc: 7.7894 7.7894 5.7836
angles: 90.00 90.00 90.00
Last column: nearest neighbours and their distance in Å.
Element x y z (fractional)
1 Cs 0.2067 0.2933 0.0000  6 Ge 3.54-3.87, 4 Cs 3.95
2 Cs 0.2933 0.7933 0.0000  6 Ge 3.54-3.87, 4 Cs 3.95
3 Cs 0.7067 0.2067 0.0000  6 Ge 3.54-3.87, 4 Cs 3.95
4 Cs 0.7933 0.7067 0.0000  6 Ge 3.54-3.87, 4 Cs 3.95
5 Ge 0.1087 0.6087 0.5000  1 Ge 2.39
6 Ge 0.3913 0.1087 0.5000  1 Ge 2.39
7 Ge 0.6087 0.8913 0.5000  1 Ge 2.39
8 Ge 0.8913 0.3913 0.5000  1 Ge 2.39
9 Se 0.0000 0.0000 0.5000  4 Ge 3.16
10 Se 0.5000 0.5000 0.5000  4 Ge 3.16

Its crystal system is tetragonal. The calculation puts the raw total energy at -3.01 eV/atom. Its magnetic moment is 0.0 μB/f.u. As for the density: 4.64 g/cm3. For the energy relative to the elements, uncorrected, the calculation gives -0.12 eV per atom. The value obtained for the volume is 35.1 Å³ per atom.



PaSnIrPt: optimized geometry, PBE-GGA.

abc: 4.8438 4.8438 4.8438
angles: 60.00 60.00 60.00
Last column: nearest neighbours and their distance in Å.
Element x y z (fractional)
1 Pa 0.0000 0.0000 0.0000  4 Ir 2.97, 4 Pt 2.97
2 Sn 0.5000 0.5000 0.5000  4 Ir 2.97, 4 Pt 2.97
3 Ir 0.7500 0.7500 0.7500  4 Sn 2.97, 4 Pa 2.97
4 Pt 0.2500 0.2500 0.2500  4 Sn 2.97, 4 Pa 2.97

For the energy relative to the elements, the calculation gives -604 meV per atom. Its crystal system is cubic. The calculation puts the raw total energy at -7.70 eV/atom. Its magnetic moment is 0.0 μB/f.u. As for the density: 15.23 g/cm3. The value obtained for the volume is 20.1 Å³ per atom.



Pm2Zn9Cu6: optimized geometry, PBE-GGA.

abc: 5.2306 5.2306 12.4713
angles: 90.00 90.00 120.00
Last column: nearest neighbours and their distance in Å.
Element x y z (fractional)
1 Pm 0.0000 0.0000 0.1635  6 Cu 3.02, 6 Zn 3.32
2 Pm 0.0000 0.0000 0.8365  6 Cu 3.02, 6 Zn 3.32
3 Zn 0.0000 0.5000 0.0000  4 Cu 2.61, 4 Zn 2.62
4 Zn 0.0000 0.5000 0.3381  4 Cu 2.52-2.58, 4 Zn 2.62
5 Zn 0.0000 0.5000 0.6619  4 Cu 2.52-2.58, 4 Zn 2.62
6 Zn 0.5000 0.0000 0.0000  4 Cu 2.61, 4 Zn 2.62
7 Zn 0.5000 0.0000 0.3381  4 Cu 2.52-2.58, 4 Zn 2.62
8 Zn 0.5000 0.0000 0.6619  4 Cu 2.52-2.58, 4 Zn 2.62
9 Zn 0.5000 0.5000 0.0000  4 Cu 2.61, 4 Zn 2.62
10 Zn 0.5000 0.5000 0.3381  4 Cu 2.52-2.58, 4 Zn 2.62
11 Zn 0.5000 0.5000 0.6619  4 Cu 2.52-2.58, 4 Zn 2.62
12 Cu 0.3333 0.6667 0.1708  6 Zn 2.58-2.61
13 Cu 0.3333 0.6667 0.5000  6 Zn 2.52
14 Cu 0.3333 0.6667 0.8292  6 Zn 2.58-2.61
15 Cu 0.6667 0.3333 0.1708  6 Zn 2.58-2.61
16 Cu 0.6667 0.3333 0.5000  6 Zn 2.52
17 Cu 0.6667 0.3333 0.8292  6 Zn 2.58-2.61

For the energy relative to the elements, the calculation gives -129 meV per atom. Its crystal system is hexagonal. The calculation puts the raw total energy at -2.81 eV/atom. Its magnetic moment is 0.0 μB/f.u. As for the density: 7.08 g/cm3. The value obtained for the volume is 17.4 Å³ per atom.



La8P2N3: optimized geometry, PBE-GGA.

abc: 8.0542 8.0542 6.6659
angles: 104.19 104.19 55.56
Last column: nearest neighbours and their distance in Å.
Element x y z (fractional)
1 La 0.0998 0.0998 0.4231  2 N 2.59
2 La 0.1535 0.6363 0.1069  2 N 2.57-2.63
3 La 0.3637 0.8465 0.8931  2 N 2.57-2.63
4 La 0.3967 0.3967 0.6026  3 N 2.50-2.65
5 La 0.6033 0.6033 0.3974  3 N 2.50-2.65
6 La 0.6363 0.1535 0.1069  2 N 2.57-2.63
7 La 0.8465 0.3637 0.8931  2 N 2.57-2.63
8 La 0.9002 0.9002 0.5769  2 N 2.59
9 P 0.2439 0.2439 0.1836  6 La 2.93-3.05
10 P 0.7561 0.7561 0.8164  6 La 2.93-3.05
11 N 0.2666 0.7334 0.5000  6 La 2.50-2.63
12 N 0.5000 0.5000 0.0000  6 La 2.57-2.65
13 N 0.7334 0.2666 0.5000  6 La 2.50-2.63

Its crystal system is monoclinic. The calculation puts the raw total energy at -6.81 eV/atom. Its magnetic moment is 0.0 μB/f.u. As for the density: 5.89 g/cm3. For the energy relative to the elements, uncorrected, the calculation gives -1.02 eV per atom. The value obtained for the volume is 26.4 Å³ per atom.



- Which formula does entry 4 have?
  La8P2N3



Copy entry 2 word for word.
PaSnIrPt: optimized geometry, PBE-GGA.

abc: 4.8438 4.8438 4.8438
angles: 60.00 60.00 60.00
Last column: nearest neighbours and their distance in Å.
Element x y z (fractional)
1 Pa 0.0000 0.0000 0.0000  4 Ir 2.97, 4 Pt 2.97
2 Sn 0.5000 0.5000 0.5000  4 Ir 2.97, 4 Pt 2.97
3 Ir 0.7500 0.7500 0.7500  4 Sn 2.97, 4 Pa 2.97
4 Pt 0.2500 0.2500 0.2500  4 Sn 2.97, 4 Pa 2.97

For the energy relative to the elements, the calculation gives -604 meV per atom. Its crystal system is cubic. The calculation puts the raw total energy at -7.70 eV/atom. Its magnetic moment is 0.0 μB/f.u. As for the density: 15.23 g/cm3. The value obtained for the volume is 20.1 Å³ per atom.